Entry 1:
Entry from OQMD via LeMat-Bulk: a relaxed LaCdInTe3 crystal (PBE).

The energy relative to the lowest polymorph listed for this composition is 0.052 eV per atom. The spin magnetization is 0.001 μB per formula unit. The calculated total energy is -22.679 eV/f.u.

It has space group Pnma (No. 62), with a = 9.053 Å, b = 4.776 Å, c = 18.667 Å, α = 90.00°, β = 90.00° and γ = 90.00°. The inequivalent atoms are La at (0.233, 0.250, 0.041), Cd at (0.103, 0.250, 0.349), In at (0.059, 0.250, 0.788), Te at (0.010, 0.250, 0.582), Te at (0.123, 0.750, 0.938) and Te at (0.222, 0.250, 0.211).

Entry 2:
Entry from OQMD via LeMat-Bulk: a relaxed PrB4Pt crystal (PBE).

The energy relative to the lowest polymorph listed for this composition is 0.006 eV per atom. The spin magnetization is 0.004 μB per formula unit. The calculated total energy is -37.461 eV/f.u.

It has space group Immm (No. 71), with a = 3.155 Å, b = 5.326 Å, c = 8.381 Å, α = 90.00°, β = 90.00° and γ = 90.00°. The inequivalent atoms are Pr at (0.000, 0.000, 0.000), B at (0.000, 0.324, 0.257) and Pt at (0.000, 0.000, 0.500).

Entry 3:
Entry from OQMD via LeMat-Bulk: a relaxed Dy2TmSc3Bi2Os crystal (PBE).

The spin magnetization is 0.006 μB per formula unit. The calculated total energy is -57.457 eV/f.u.

It has space group Amm2 (No. 38), with a = 4.222 Å, b = 13.684 Å, c = 7.904 Å, α = 90.00°, β = 90.00° and γ = 90.00°. The inequivalent atoms are Dy at (0.000, 0.194, 0.000), Tm at (0.000, 0.000, 0.579), Sc at (0.500, 0.000, 0.973), Sc at (0.500, 0.113, 0.307), Bi at (0.500, 0.165, 0.694) and Os at (0.000, 0.000, 0.199).

Entry 4:
Entry from OQMD via LeMat-Bulk: a relaxed Co2W crystal (PBE).

The formation energy comes out at 0.005 eV/atom. The spin magnetization is 0.014 μB per formula unit. The calculated total energy is -27.157 eV/f.u.

It has space group P6_3/mmc (No. 194), with a = 4.6551 Å, b = 4.6551 Å, c = 7.5969 Å, α = 90.00°, β = 90.00° and γ = 120.00°. The inequivalent atoms are Co at (0.0000, 0.0000, 0.0000), Co at (0.1684, 0.3368, 0.2500) and W at (0.3333, 0.6667, 0.5677).

Entry 5:
Entry from OQMD via LeMat-Bulk: a relaxed Sc2CoSi2 crystal (PBE).

The spin magnetization is 0.006 μB per formula unit. The calculated total energy is -34.824 eV/f.u.

It has space group C2/m (No. 12), with a = 9.847 Å, b = 3.950 Å, c = 9.412 Å, α = 90.00°, β = 118.71° and γ = 90.00°. The inequivalent atoms are Sc at (0.001, 0.000, 0.328), Sc at (0.184, 0.000, 0.105), Co at (0.226, 0.500, 0.375), Si at (0.012, 0.500, 0.875) and Si at (0.145, 0.500, 0.569).

Entry 6:
Entry from OQMD via LeMat-Bulk: a relaxed TmGaB crystal (PBE).

The energy relative to the lowest polymorph listed for this composition is 0.812 eV per atom. The spin magnetization is 0.004 μB per formula unit. The calculated total energy is -12.246 eV/f.u.

It has space group F-43m (No. 216), with a = 6.196 Å, b = 6.196 Å, c = 6.196 Å, α = 90.00°, β = 90.00° and γ = 90.00°. The inequivalent atoms are Tm at (0.000, 0.000, 0.000), Ga at (0.250, 0.250, 0.250) and B at (0.250, 0.250, 0.750).

Entry 7:
Entry from OQMD via LeMat-Bulk: a relaxed DyAgPbSe3 crystal (PBE).

The energy relative to the lowest polymorph listed for this composition is 0.045 eV per atom. The spin magnetization is 0.000 μB per formula unit. The calculated total energy is -27.164 eV/f.u.

It has space group Pnma (No. 62), with a = 8.485 Å, b = 4.303 Å, c = 16.709 Å, α = 90.00°, β = 90.00° and γ = 90.00°. The inequivalent atoms are Dy at (0.248, 0.250, 0.032), Ag at (0.126, 0.750, 0.860), Pb at (0.072, 0.750, 0.277), Se at (0.029, 0.750, 0.087), Se at (0.111, 0.250, 0.444) and Se at (0.188, 0.750, 0.704).

Entry 8:
Entry from OQMD via LeMat-Bulk: a relaxed AgHgAsO crystal (PBE).

The energy relative to the lowest polymorph listed for this composition is 0.000 eV per atom. The calculated total energy is -12.435 eV/f.u.

It has space group Pmc2_1 (No. 26), with a = 4.027 Å, b = 7.526 Å, c = 5.169 Å, α = 90.00°, β = 90.00° and γ = 90.00°. The inequivalent atoms are Ag at (0.000, 0.233, 0.000), Hg at (0.500, 0.181, 0.500), As at (0.000, 0.421, 0.484) and O at (0.500, 0.110, 0.983).

Entry 9:
Entry from OQMD via LeMat-Bulk: a relaxed TbNdBC2 crystal (PBE).

The spin magnetization is 0.003 μB per formula unit. The calculated total energy is -36.276 eV/f.u.

It has space group Cm (No. 8), with a = 5.288 Å, b = 5.288 Å, c = 6.074 Å, α = 90.00°, β = 114.89° and γ = 90.00°. The inequivalent atoms are Tb at (0.000, 0.000, 0.000), Nd at (0.299, 0.000, 0.585), B at (0.155, 0.500, 0.302), C at (0.017, 0.500, 0.032) and C at (0.291, 0.500, 0.572).

Entry 10:
Entry from OQMD via LeMat-Bulk: a relaxed LiFeCoGe crystal (PBE).

The energy relative to the lowest polymorph listed for this composition is 0.104 eV per atom. The spin magnetization is 1.508 μB per formula unit. The calculated total energy is -22.256 eV/f.u.

It has space group F-43m (No. 216), with a = 5.634 Å, b = 5.634 Å, c = 5.634 Å, α = 90.00°, β = 90.00° and γ = 90.00°. The inequivalent atoms are Li at (0.000, 0.000, 0.000), Fe at (0.250, 0.250, 0.750), Co at (0.250, 0.250, 0.250) and Ge at (0.000, 0.000, 0.500).

Entry 11:
Entry from OQMD via LeMat-Bulk: a relaxed ZrCd2B crystal (PBE).

The spin magnetization is 0.002 μB per formula unit. The calculated total energy is -14.522 eV/f.u.

It has space group F-43m (No. 216), with a = 6.597 Å, b = 6.597 Å, c = 6.597 Å, α = 90.00°, β = 90.00° and γ = 90.00°. The inequivalent atoms are Zr at (0.000, 0.000, 0.000), Cd at (0.000, 0.000, 0.500), Cd at (0.250, 0.250, 0.250) and B at (0.250, 0.250, 0.750).

Entry 12:
Entry from OQMD via LeMat-Bulk: a relaxed HfB2Pb crystal (PBE).

The spin magnetization is 0.008 μB per formula unit. The calculated total energy is -20.051 eV/f.u.

It has space group F-43m (No. 216), with a = 6.489 Å, b = 6.489 Å, c = 6.489 Å, α = 90.00°, β = 90.00° and γ = 90.00°. The inequivalent atoms are Hf at (0.000, 0.000, 0.000), B at (0.000, 0.000, 0.500), B at (0.250, 0.250, 0.250) and Pb at (0.250, 0.250, 0.750).

Entry 13:
Entry from OQMD via LeMat-Bulk: a relaxed LaCuTeOs crystal (PBE).

The energy relative to the lowest polymorph listed for this composition is 0.019 eV per atom. The spin magnetization is 0.000 μB per formula unit. The calculated total energy is -22.311 eV/f.u.

It has space group F-43m (No. 216), with a = 6.875 Å, b = 6.875 Å, c = 6.875 Å, α = 90.00°, β = 90.00° and γ = 90.00°. The inequivalent atoms are La at (0.000, 0.000, 0.000), Cu at (0.250, 0.250, 0.750), Te at (0.250, 0.250, 0.250) and Os at (0.000, 0.000, 0.500).

Entry 14:
Entry from OQMD via LeMat-Bulk: a relaxed AuI6Br crystal (PBE).

The calculated total energy is -9.223 eV/f.u.

It has space group F-43m (No. 216), with a = 10.954 Å, b = 10.954 Å, c = 10.954 Å, α = 90.00°, β = 90.00° and γ = 90.00°. The inequivalent atoms are Au at (0.000, 0.000, 0.000), I at (0.014, 0.250, 0.750) and Br at (0.250, 0.250, 0.250).

Entry 15:
Entry from OQMD via LeMat-Bulk: a relaxed YLuCuAu crystal (PBE).

The formation energy comes out at -0.573 eV/atom. The energy relative to the lowest polymorph listed for this composition is 0.000 eV per atom. The spin magnetization is 0.000 μB per formula unit. The calculated total energy is -20.266 eV/f.u.

It has space group F-43m (No. 216), with a = 7.014 Å, b = 7.014 Å, c = 7.014 Å, α = 90.00°, β = 90.00° and γ = 90.00°. The inequivalent atoms are Y at (0.000, 0.000, 0.000), Lu at (0.000, 0.000, 0.500), Cu at (0.250, 0.250, 0.750) and Au at (0.250, 0.250, 0.250).

Entry 16:
Entry from OQMD via LeMat-Bulk: a relaxed TbTlNi crystal (PBE).

The spin magnetization is 0.158 μB per formula unit. The calculated total energy is -11.815 eV/f.u.

It has space group F-43m (No. 216), with a = 6.681 Å, b = 6.681 Å, c = 6.681 Å, α = 90.00°, β = 90.00° and γ = 90.00°. The inequivalent atoms are Tb at (0.000, 0.000, 0.000), Tl at (0.250, 0.250, 0.750) and Ni at (0.000, 0.000, 0.500).

Entry 17:
Entry from OQMD via LeMat-Bulk: a relaxed YNbPd crystal (PBE).

The formation energy comes out at 0.185 eV/atom. The energy relative to the lowest polymorph listed for this composition is 0.000 eV per atom. The spin magnetization is 0.737 μB per formula unit. The calculated total energy is -21.179 eV/f.u.

It has space group F-43m (No. 216), with a = 6.548 Å, b = 6.548 Å, c = 6.548 Å, α = 90.00°, β = 90.00° and γ = 90.00°. The inequivalent atoms are Y at (0.000, 0.000, 0.000), Nb at (0.000, 0.000, 0.500) and Pd at (0.250, 0.250, 0.750).

Entry 18:
Entry from OQMD via LeMat-Bulk: a relaxed NaGa4Pd2 crystal (PBE).

The calculated total energy is -26.359 eV/f.u.

It has space group I4/mmm (No. 139), with a = 6.643 Å, b = 6.643 Å, c = 5.432 Å, α = 90.00°, β = 90.00° and γ = 90.00°. The inequivalent atoms are Na at (0.000, 0.000, 0.000), Ga at (0.196, 0.196, 0.500) and Pd at (0.000, 0.500, 0.250).

Entry 19:
Entry from OQMD via LeMat-Bulk: a relaxed USiGe crystal (PBE).

The energy relative to the lowest polymorph listed for this composition is 0.000 eV per atom. The spin magnetization is 2.358 μB per formula unit. The calculated total energy is -20.659 eV/f.u.

It has space group F-43m (No. 216), with a = 6.347 Å, b = 6.347 Å, c = 6.347 Å, α = 90.00°, β = 90.00° and γ = 90.00°. The inequivalent atoms are U at (0.000, 0.000, 0.000), Si at (0.250, 0.250, 0.750) and Ge at (0.000, 0.000, 0.500).

Entry 20:
Entry from OQMD via LeMat-Bulk: a relaxed Zr2Sc crystal (PBE).

The formation energy comes out at -0.014 eV/atom. The spin magnetization is 0.002 μB per formula unit. The calculated total energy is -23.466 eV/f.u.

It has space group P-62m (No. 189), with a = 5.6173 Å, b = 5.6173 Å, c = 5.1321 Å, α = 90.00°, β = 90.00° and γ = 120.00°. The inequivalent atoms are Zr at (0.0000, 0.0000, 0.0000), Zr at (0.0000, 0.6681, 0.5000) and Sc at (0.3333, 0.6667, 0.0000).